## a
Density functional theory data (GGA-PBE) for Re2TeP after structural relaxation.

```
Re2TeP
1.0
1.5066 0.8698 9.7564
-1.5066 0.8698 9.7564
0.0000 -1.7397 9.7564
Re Te P
2 1 1
direct
0.0000 0.0000 0.0000
0.2598 0.2598 0.2598
0.7408 0.7408 0.7408
0.5350 0.5350 0.5350
```

***

## b
Density functional theory data (GGA-PBE) for Re2TeP after structural relaxation.

```
Re2TeP
1.0
-1.4922 2.3784 4.6618
1.4922 -2.3784 4.6618
1.4922 2.3784 -4.6618
Re Te P
2 1 1
direct
0.2044 0.2044 0.0000
0.7956 0.7956 0.0000
0.5000 0.0000 0.5000
0.0000 0.5000 0.5000
```

***

Which structure is the most stable? The one labeled a.

***

## a
Density functional theory data (GGA-PBE) for TiRe3P after structural relaxation.

```
TiRe3P
1.0
4.3629 0.0000 0.0000
0.0000 4.3629 0.0000
0.0000 0.0000 4.3629
Ti Re P
1 3 1
direct
0.0000 0.0000 0.0000
0.0000 0.5000 0.5000
0.5000 0.0000 0.5000
0.5000 0.5000 0.0000
0.5000 0.5000 0.5000
```

***

## b
Density functional theory data (GGA-PBE) for TiRe3P after structural relaxation.

```
TiRe3P
1.0
4.5632 0.0000 0.0000
0.0000 4.5632 0.0000
0.0000 0.0000 4.5632
Ti Re P
1 3 1
direct
0.0000 0.0000 0.0000
0.0000 0.0000 0.5000
0.0000 0.5000 0.0000
0.5000 0.0000 0.0000
0.5000 0.5000 0.5000
```

***

Which structure is the most stable? The one labeled a.

***

## a
Density functional theory data (GGA-PBE) for Tl2ReP after structural relaxation.

```
Tl2ReP
1.0
3.1911 -4.2298 0.0000
3.1911 4.2298 0.0000
0.0000 0.0000 2.9455
Tl Re P
2 1 1
direct
0.0000 0.5000 0.0000
0.5000 0.0000 0.0000
0.0000 0.0000 0.5000
0.5000 0.5000 0.5000
```

***

## b
Density functional theory data (GGA-PBE) for Tl2ReP after structural relaxation.

```
Tl2ReP
1.0
3.4027 0.0000 0.0000
0.0000 4.7170 0.0000
0.0000 0.0000 5.0190
Tl Re P
2 1 1
direct
0.0000 0.0000 0.0000
0.5000 0.0000 0.5000
0.0000 0.5000 0.5000
0.5000 0.5000 0.0000
```

***

## c
Density functional theory data (GGA-PBE) for Tl2ReP after structural relaxation.

```
Tl2ReP
1.0
0.0000 3.4524 3.4524
3.4524 0.0000 3.4524
3.4524 3.4524 0.0000
Tl Re P
2 1 1
direct
0.0000 0.0000 0.0000
0.2500 0.2500 0.2500
0.7500 0.7500 0.7500
0.5000 0.5000 0.5000
```

***

Which structure is the most stable? The one labeled a.

***

## a
Density functional theory data (GGA-PBE) for Tl2ReP after structural relaxation.

```
Tl2ReP
1.0
3.3266 -4.7185 0.0000
3.3266 4.7185 0.0000
-1.2557 0.0000 2.6307
Tl Re P
2 1 1
direct
0.0000 0.5000 0.0000
0.5000 0.0000 0.0000
0.0000 0.0000 0.5000
0.5000 0.5000 0.5000
```

***

## b
Density functional theory data (GGA-PBE) for Tl2ReP after structural relaxation.

```
Tl2ReP
1.0
0.0000 3.4416 3.4416
3.4416 0.0000 3.4416
3.4416 3.4416 0.0000
Tl Re P
2 1 1
direct
0.2500 0.2500 0.2500
0.7500 0.7500 0.7500
0.0000 0.0000 0.0000
0.5000 0.5000 0.5000
```

***

## c
Density functional theory data (GGA-PBE) for Tl2ReP after structural relaxation.

```
Tl2ReP
1.0
5.3188 -1.5876 0.0000
5.3188 1.5876 0.0000
-3.6149 0.0000 5.1697
Tl Re P
2 1 1
direct
0.0000 0.0000 0.0000
0.1324 0.1324 0.6334
0.7874 0.7874 0.1351
0.3267 0.3267 0.4312
```

***

## d
Density functional theory data (GGA-PBE) for Tl2ReP after structural relaxation.

```
Tl2ReP
1.0
-1.7688 2.4569 4.5140
1.7688 -2.4569 4.5140
1.7688 2.4569 -4.5140
Tl Re P
2 1 1
direct
0.2448 0.2448 0.0000
0.7552 0.7552 0.0000
0.5000 0.0000 0.5000
0.0000 0.5000 0.5000
```

***

Which structure is the most stable? The one labeled c.

***

## a
Density functional theory data (GGA-PBE) for Tl2ReP after structural relaxation.

```
Tl2ReP
1.0
1.5276 0.8819 10.0905
-1.5276 0.8819 10.0905
0.0000 -1.7639 10.0905
Tl Re P
2 1 1
direct
0.2471 0.2471 0.2471
0.7529 0.7529 0.7529
0.5000 0.5000 0.5000
0.0000 0.0000 0.0000
```

***

## b
Density functional theory data (GGA-PBE) for Tl2ReP after structural relaxation.

```
Tl2ReP
1.0
-1.5442 2.3510 6.4552
1.5442 -2.3510 6.4552
1.5442 2.3510 -6.4552
Tl Re P
2 1 1
direct
0.0000 0.0000 0.0000
0.6967 0.1967 0.5000
0.2409 0.7409 0.5000
0.3745 0.3745 0.0000
```

***

Which structure is the most stable? The one labeled b.

***

## a
Density functional theory data (GGA-PBE) for Tl2ReP after structural relaxation.

```
Tl2ReP
1.0
4.4914 0.0000 0.0000
0.0000 1.5147 7.6989
0.0000 -1.5147 7.6989
Tl Re P
2 1 1
direct
0.0000 0.0000 0.0000
0.5000 0.3384 0.3384
0.0000 0.6673 0.6673
0.5000 0.6647 0.6647
```

***

## b
Density functional theory data (GGA-PBE) for Tl2ReP after structural relaxation.

```
Tl2ReP
1.0
8.7683 -1.4743 0.0000
8.7683 1.4743 0.0000
-0.8228 0.0000 3.7147
Tl Re P
2 1 1
direct
0.1649 0.1649 0.1666
0.8351 0.8351 0.8334
0.5000 0.5000 0.0000
0.0000 0.0000 0.5000
```

***

Which structure is the most stable? The one labeled b.